A plane-wave DFT calculation with GGA-PBE was carried out for an optimized crystal structure of SrFeCl2.

Cell and atoms, written as POSCAR:
```
SrFeCl2
1.0
5.4383 0.0000 0.0000
0.0000 5.4383 0.0000
2.7192 2.7192 6.9116
Sr Cl Fe
2 4 2
Direct
0.7500 0.2500 0.5000
0.0000 0.0000 0.0000
0.5370 0.1250 0.2500
0.2130 0.6250 0.2500
0.3750 0.4630 0.7500
0.8750 0.7870 0.7500
0.5000 0.5000 0.0000
0.2500 0.7500 0.5000
```

Results
N(E_F), states/eV per cell: 4.88
Symmetry: I-42d, No. 122
V, Å³ per cell: 204.4
Excess energy over the best structure of this formula in the dataset, meV/atom: 154
Energy relative to the elements, uncorrected, eV/atom: -0.710

A plane-wave DFT calculation with GGA-PBE was carried out for an optimized crystal structure of SrFe2Cl.

Cell and atoms, written as POSCAR:
```
SrFe2Cl
1.0
-1.6475 2.2701 1.7688
-2.9318 -1.4066 -0.9256
-1.2108 -5.1386 5.4671
Fe Cl Sr
2 1 1
Direct
0.5000 0.2189 0.1869
0.0000 0.7750 0.0745
0.5000 0.9424 0.7408
0.0000 0.5637 0.4978
```

Results
N(E_F), states/eV per cell: 2.72
Symmetry: Amm2, No. 38
V, Å³ per cell: 83.1
Excess energy over the best structure of this formula in the dataset, meV/atom: 0
Energy relative to the elements, uncorrected, eV/atom: -0.113

A plane-wave DFT calculation with GGA-PBE was carried out for an optimized crystal structure of SrFe3Cl.

Cell and atoms, written as POSCAR:
```
SrFe3Cl
1.0
-2.4691 -0.5182 -3.5804
3.5426 -1.2254 -2.2656
-0.7337 -4.1730 1.1099
Fe Sr Cl
3 1 1
Direct
0.0000 0.0000 0.5000
0.5000 0.0000 0.0000
0.0000 0.5000 0.0000
0.5000 0.5000 0.5000
0.0000 0.0000 0.0000
```

Results
N(E_F), states/eV per cell: 6.86
Symmetry: Pm-3m, No. 221
V, Å³ per cell: 84.0
Excess energy over the best structure of this formula in the dataset, meV/atom: 0
Energy relative to the elements, uncorrected, eV/atom: 0.740

A plane-wave DFT calculation with GGA-PBE was carried out for an optimized crystal structure of SrFe3Cl12.

Cell and atoms, written as POSCAR:
```
SrFe3Cl12
1.0
-4.7385 0.1168 9.8574
-9.1720 -5.7032 1.7268
1.4338 -10.7098 6.8845
Cl Fe Sr
24 6 2
Direct
0.8637 0.3895 0.8333
0.4134 0.8895 0.3333
0.0987 0.7611 0.0346
0.7611 0.1056 0.0346
0.1056 0.0987 0.0346
0.2593 0.8727 0.6522
0.8895 0.3637 0.3333
0.0607 0.4860 0.9713
0.7158 0.3727 0.1522
0.5607 0.9819 0.4713
0.5987 0.6056 0.5346
0.4860 0.4819 0.9713
0.2158 0.2593 0.6522
0.7593 0.7158 0.1522
0.8727 0.2158 0.6522
0.4819 0.0607 0.9713
0.3727 0.7593 0.1522
0.6056 0.2611 0.5346
0.9819 0.9860 0.4713
0.3637 0.4134 0.3333
0.3895 0.9134 0.8333
0.9134 0.8637 0.8333
0.9860 0.5607 0.4713
0.2611 0.5987 0.5346
0.9592 0.6980 0.0002
0.3426 0.9592 0.0002
0.8426 0.1980 0.5002
0.4592 0.8426 0.5002
0.6980 0.3426 0.0002
0.1980 0.4592 0.5002
0.0542 0.0542 0.8373
0.5542 0.5542 0.3373
```

Results
N(E_F), states/eV per cell: 23.18
Symmetry: R3c, No. 161
V, Å³ per cell: 1155.0
Energy relative to the elements, uncorrected, eV/atom: -1.016

A plane-wave DFT calculation with GGA-PBE was carried out for an optimized crystal structure of SrFeCl2.

Cell and atoms, written as POSCAR:
```
SrFeCl2
1.0
-3.4591 1.8069 -2.8417
-3.3267 -2.4655 2.4818
-0.4261 3.0477 2.4566
Cl Sr Fe
2 1 1
Direct
0.0000 0.0000 0.0000
0.5000 0.5000 0.0000
0.0000 0.5000 0.5000
0.5000 0.0000 0.5000
```

Results
N(E_F), states/eV per cell: 1.43
Symmetry: P4/mmm, No. 123
V, Å³ per cell: 91.8
Excess energy over the best structure of this formula in the dataset, meV/atom: 185
Energy relative to the elements, uncorrected, eV/atom: -0.679

A plane-wave DFT calculation with GGA-PBE was carried out for an optimized crystal structure of Sr2FeCl.

Cell and atoms, written as POSCAR:
```
Sr2FeCl
1.0
-1.9307 2.6847 1.8324
0.0427 -2.0925 3.1484
8.5201 4.2694 2.7220
Fe Cl Sr
1 1 2
Direct
0.5000 0.5000 0.7686
0.0000 0.0000 0.4544
0.0000 0.0000 0.9580
0.5000 0.5000 0.3189
```

Results
N(E_F), states/eV per cell: 3.51
Symmetry: Cmm2, No. 35
V, Å³ per cell: 141.7
Excess energy over the best structure of this formula in the dataset, meV/atom: 296
Energy relative to the elements, uncorrected, eV/atom: -0.129

A plane-wave DFT calculation with GGA-PBE was carried out for an optimized crystal structure of Sr2FeCl.

Cell and atoms, written as POSCAR:
```
Sr2FeCl
1.0
-0.2579 0.4501 -3.6228
-2.3181 -2.8255 -0.1937
-6.4198 5.1914 1.1019
Fe Cl Sr
1 1 2
Direct
0.5000 0.5000 0.7500
0.5000 0.5000 0.2500
0.0000 0.0000 0.9834
0.0000 0.0000 0.5166
```

Results
N(E_F), states/eV per cell: 4.43
Symmetry: Cmmm, No. 65
V, Å³ per cell: 111.6
Excess energy over the best structure of this formula in the dataset, meV/atom: 30
Energy relative to the elements, uncorrected, eV/atom: -0.396

A plane-wave DFT calculation with GGA-PBE was carried out for an optimized crystal structure of SrFeCl2.

Cell and atoms, written as POSCAR:
```
SrFeCl2
1.0
-2.7408 3.2326 0.0329
-2.7038 -2.2739 -1.8224
-3.2563 -2.8021 4.0521
Sr Cl Fe
1 2 1
Direct
0.5000 0.6824 0.7616
0.0000 0.1056 0.9173
0.5000 0.3849 0.3521
0.0000 0.3271 0.4690
```

Results
N(E_F), states/eV per cell: 2.61
Symmetry: Pm, No. 6
V, Å³ per cell: 93.9
Excess energy over the best structure of this formula in the dataset, meV/atom: 0
Energy relative to the elements, uncorrected, eV/atom: -0.864

A plane-wave DFT calculation with GGA-PBE was carried out for an optimized crystal structure of Sr2FeCl.

Cell and atoms, written as POSCAR:
```
Sr2FeCl
1.0
-4.4941 -1.5292 -2.8229
-4.4683 3.2460 -0.0479
-1.4107 2.6887 -4.6135
Sr Cl Fe
2 1 1
Direct
0.7500 0.7500 0.7500
0.2500 0.2500 0.2500
0.0000 0.0000 0.0000
0.5000 0.5000 0.5000
```

Results
N(E_F), states/eV per cell: 6.14
Symmetry: Fm-3m, No. 225
V, Å³ per cell: 119.1
Excess energy over the best structure of this formula in the dataset, meV/atom: 307
Energy relative to the elements, uncorrected, eV/atom: -0.119

A plane-wave DFT calculation with GGA-PBE was carried out for an optimized crystal structure of Sr2FeCl.

Cell and atoms, written as POSCAR:
```
Sr2FeCl
1.0
3.7421 0.0000 0.0000
0.0000 3.9283 -0.2936
0.0000 0.6607 8.5289
Cl Fe Sr
1 1 2
Direct
0.5000 0.2500 0.2500
0.5000 0.7500 0.7500
0.0000 0.2520 0.5285
0.0000 0.2480 0.9715
```

Results
N(E_F), states/eV per cell: 4.73
Symmetry: P2/m, No. 10
V, Å³ per cell: 126.1
Excess energy over the best structure of this formula in the dataset, meV/atom: 0
Energy relative to the elements, uncorrected, eV/atom: -0.426

A plane-wave DFT calculation with GGA-PBE was carried out for an optimized crystal structure of Sr2FeCl.

Cell and atoms, written as POSCAR:
```
Sr2FeCl
1.0
-1.3812 -5.4608 0.1305
0.6318 -2.9528 4.7568
-4.5320 -1.6913 2.8889
Fe Sr Cl
1 2 1
Direct
0.7500 0.7500 0.7500
0.2500 0.2500 0.2500
0.0000 0.0000 0.0000
0.5000 0.5000 0.5000
```

Results
N(E_F), states/eV per cell: 1.50
Symmetry: F-43m, No. 216
V, Å³ per cell: 126.5
Excess energy over the best structure of this formula in the dataset, meV/atom: 739
Energy relative to the elements, uncorrected, eV/atom: 0.313

A plane-wave DFT calculation with GGA-PBE was carried out for an optimized crystal structure of Sr2FeCl.

Cell and atoms, written as POSCAR:
```
Sr2FeCl
1.0
8.0377 0.0000 0.0000
0.0000 8.0377 0.0000
4.0188 4.0188 4.1884
Sr Fe Cl
4 2 2
Direct
0.3750 0.3893 0.7500
0.1393 0.6250 0.2500
0.6107 0.1250 0.2500
0.8750 0.8607 0.7500
0.7500 0.2500 0.5000
0.0000 0.0000 0.0000
0.2500 0.7500 0.5000
0.5000 0.5000 0.0000
```

Results
N(E_F), states/eV per cell: 12.10
Symmetry: I-42d, No. 122
V, Å³ per cell: 270.6
Excess energy over the best structure of this formula in the dataset, meV/atom: 235
Energy relative to the elements, uncorrected, eV/atom: -0.191

A plane-wave DFT calculation with GGA-PBE was carried out for an optimized crystal structure of SrFeCl2.

Cell and atoms, written as POSCAR:
```
SrFeCl2
1.0
10.7050 0.1028 0.0611
9.8329 4.2333 0.0611
9.8329 2.0760 3.6899
Cl Fe Sr
2 1 1
Direct
0.4656 0.4656 0.4656
0.0344 0.0344 0.0344
0.2500 0.2500 0.2500
0.7500 0.7500 0.7500
```

Results
N(E_F), states/eV per cell: 6.64
Symmetry: R-3m, No. 166
V, Å³ per cell: 160.9
Excess energy over the best structure of this formula in the dataset, meV/atom: 168
Energy relative to the elements, uncorrected, eV/atom: -0.696

A plane-wave DFT calculation with GGA-PBE was carried out for an optimized crystal structure of SrFeCl2.

Cell and atoms, written as POSCAR:
```
SrFeCl2
1.0
-5.5570 3.5458 -1.7466
-4.9043 3.5648 3.1216
-2.1560 6.4642 0.2639
Sr Cl Fe
1 2 1
Direct
0.5000 0.5000 0.5000
0.1166 0.1166 0.1166
0.8834 0.8834 0.8834
0.0000 0.0000 0.0000
```

Results
N(E_F), states/eV per cell: 0.00
Symmetry: R-3m, No. 166
V, Å³ per cell: 129.6
Excess energy over the best structure of this formula in the dataset, meV/atom: 97
Energy relative to the elements, uncorrected, eV/atom: -0.767

A plane-wave DFT calculation with GGA-PBE was carried out for an optimized crystal structure of Sr4FeCl.

Cell and atoms, written as POSCAR:
```
Sr4FeCl
1.0
0.0000 5.2461 5.2461
5.2461 0.0000 5.2461
5.2461 5.2461 0.0000
Sr Fe Cl
4 1 1
Direct
0.3742 0.8775 0.3742
0.3742 0.3742 0.8775
0.8775 0.3742 0.3742
0.3742 0.3742 0.3742
0.0000 0.0000 0.0000
0.7500 0.7500 0.7500
```

Results
N(E_F), states/eV per cell: 12.34
Symmetry: F-43m, No. 216
V, Å³ per cell: 288.8
Energy relative to the elements, uncorrected, eV/atom: 0.599

A plane-wave DFT calculation with GGA-PBE was carried out for an optimized crystal structure of SrFe2Cl.

Cell and atoms, written as POSCAR:
```
SrFe2Cl
1.0
-0.6836 -6.2159 1.0445
2.8850 -5.6437 -0.1475
0.8586 1.6615 3.3680
Sr Fe Cl
1 2 1
Direct
0.7500 0.7500 0.7500
0.0251 0.0251 0.0252
0.4749 0.4749 0.4748
0.2500 0.2500 0.2500
```

Results
N(E_F), states/eV per cell: 2.67
Symmetry: Immm, No. 71
V, Å³ per cell: 84.1
Excess energy over the best structure of this formula in the dataset, meV/atom: 118
Energy relative to the elements, uncorrected, eV/atom: 0.005

A plane-wave DFT calculation with GGA-PBE was carried out for an optimized crystal structure of Sr2FeCl.

Cell and atoms, written as POSCAR:
```
Sr2FeCl
1.0
-2.7269 2.9259 -9.8149
-6.4005 2.5868 -8.0418
-4.2331 6.0329 -7.6166
Fe Sr Cl
1 2 1
Direct
0.7498 0.7498 0.7498
0.0130 0.0130 0.0130
0.2293 0.2293 0.2293
0.5080 0.5080 0.5080
```

Results
N(E_F), states/eV per cell: 2.84
Symmetry: R3m, No. 160
V, Å³ per cell: 149.9
Excess energy over the best structure of this formula in the dataset, meV/atom: 362
Energy relative to the elements, uncorrected, eV/atom: -0.064

A plane-wave DFT calculation with GGA-PBE was carried out for an optimized crystal structure of SrFeCl2.

Cell and atoms, written as POSCAR:
```
SrFeCl2
1.0
5.2704 0.2287 -0.1326
3.3008 4.1151 -0.1326
0.0867 0.0439 5.1582
Sr Fe Cl
1 1 2
Direct
0.2500 0.2500 0.2500
0.7500 0.7500 0.7500
0.9250 0.9250 0.0191
0.5750 0.5750 0.4809
```

Results
N(E_F), states/eV per cell: 2.10
Symmetry: C2/m, No. 12
V, Å³ per cell: 108.0
Excess energy over the best structure of this formula in the dataset, meV/atom: 5
Energy relative to the elements, uncorrected, eV/atom: -0.859

A plane-wave DFT calculation with GGA-PBE was carried out for an optimized crystal structure of SrFe2Cl.

Cell and atoms, written as POSCAR:
```
SrFe2Cl
1.0
-1.5613 -2.8884 -0.8329
3.7674 -2.0470 0.0367
-0.7651 -1.3015 5.9480
Sr Fe Cl
1 2 1
Direct
0.5000 0.0000 0.5000
0.5000 0.5000 0.0000
0.0000 0.0000 0.0000
0.0000 0.5000 0.5000
```

Results
N(E_F), states/eV per cell: 5.22
Symmetry: Pmmm, No. 47
V, Å³ per cell: 89.1
Excess energy over the best structure of this formula in the dataset, meV/atom: 253
Energy relative to the elements, uncorrected, eV/atom: 0.140

A plane-wave DFT calculation with GGA-PBE was carried out for an optimized crystal structure of SrFe2Cl.

Cell and atoms, written as POSCAR:
```
SrFe2Cl
1.0
-2.1542 -3.8962 7.9342
-3.5817 -5.9967 5.8296
-0.3774 -6.3049 6.5483
Sr Fe Cl
1 2 1
Direct
0.2500 0.2500 0.2500
0.4861 0.4861 0.4861
0.0139 0.0139 0.0139
0.7500 0.7500 0.7500
```

Results
N(E_F), states/eV per cell: 5.49
Symmetry: R-3m, No. 166
V, Å³ per cell: 83.8
Excess energy over the best structure of this formula in the dataset, meV/atom: 779
Energy relative to the elements, uncorrected, eV/atom: 0.666